(1)
This record from Alexandria via LeMat-Bulk describes a relaxed structure of AcAlAu2. The functional is PBE.

The structure in CIF format:
```
data_AcAlAu2
_space_group_name_H-M_alt 'P 4/m m m'
_space_group_IT_number 123
_space_group_name_Hall '-P 4 2'
_cell_length_a 4.980
_cell_length_b 4.980
_cell_length_c 3.958
_cell_angle_alpha 90.00
_cell_angle_beta 90.00
_cell_angle_gamma 90.00
loop_
_atom_site_label
_atom_site_type_symbol
_atom_site_fract_x
_atom_site_fract_y
_atom_site_fract_z
Ac1 Ac 0.000 0.000 0.000
Al1 Al 0.500 0.500 0.000
Au1 Au 0.000 0.500 0.500
```

## Properties
Formation energy (eV per formula unit): -1.628
Total DFT energy (no corrections) (eV/atom): -4.01



(2)
This record from Alexandria via LeMat-Bulk describes a relaxed structure of AcAlAu11. The functional is PBE.

The structure in CIF format:
```
data_AcAlAu11
_space_group_name_H-M_alt 'C 1 2/m 1'
_space_group_IT_number 12
_space_group_name_Hall '-C 2y'
_cell_length_a 5.571
_cell_length_b 13.277
_cell_length_c 7.330
_cell_angle_alpha 90.00
_cell_angle_beta 108.46
_cell_angle_gamma 90.00
loop_
_atom_site_label
_atom_site_type_symbol
_atom_site_fract_x
_atom_site_fract_y
_atom_site_fract_z
Ac1 Ac 0.000 0.000 0.000
Al1 Al 0.000 0.500 0.500
Au1 Au 0.000 0.000 0.500
Au2 Au 0.083 0.393 0.225
Au3 Au 0.159 0.174 0.350
Au4 Au 0.250 0.250 0.000
```

## Properties
Formation energy (eV per formula unit): -4.162
Total DFT energy (no corrections) (eV/atom): -3.70



(3)
This record from Alexandria via LeMat-Bulk describes a relaxed structure of Ac3AlAu3. The functional is PBE.

The structure in CIF format:
```
data_Ac3AlAu3
_space_group_name_H-M_alt 'C 1 2/m 1'
_space_group_IT_number 12
_space_group_name_Hall '-C 2y'
_cell_length_a 11.931
_cell_length_b 4.411
_cell_length_c 16.228
_cell_angle_alpha 90.00
_cell_angle_beta 109.30
_cell_angle_gamma 90.00
loop_
_atom_site_label
_atom_site_type_symbol
_atom_site_fract_x
_atom_site_fract_y
_atom_site_fract_z
Ac1 Ac 0.017 0.000 0.384
Ac2 Ac 0.100 0.000 0.920
Ac3 Ac 0.237 0.000 0.235
Al1 Al 0.240 0.500 0.413
Au1 Au 0.029 0.500 0.238
Au2 Au 0.123 0.500 0.078
Au3 Au 0.142 0.500 0.544
```

## Properties
Formation energy (eV per formula unit): -5.129
Total DFT energy (no corrections) (eV/atom): -4.43
Energy above the lowest structure with this stoichiometry (eV per atom): 0.000



(4)
This record from Alexandria via LeMat-Bulk describes a relaxed structure of AcAlAu2. The functional is PBE.

The structure in CIF format:
```
data_AcAlAu2
_space_group_name_H-M_alt 'C m c m'
_space_group_IT_number 63
_space_group_name_Hall '-C 2c 2'
_cell_length_a 4.417
_cell_length_b 18.841
_cell_length_c 4.647
_cell_angle_alpha 90.00
_cell_angle_beta 90.00
_cell_angle_gamma 90.00
loop_
_atom_site_label
_atom_site_type_symbol
_atom_site_fract_x
_atom_site_fract_y
_atom_site_fract_z
Ac1 Ac 0.000 0.103 0.250
Al1 Al 0.000 0.319 0.250
Au1 Au 0.000 0.253 0.750
Au2 Au 0.000 0.455 0.250
```

## Properties
Formation energy (eV per formula unit): -2.995
Total DFT energy (no corrections) (eV/atom): -4.35



(5)
This record from Alexandria via LeMat-Bulk describes a relaxed structure of AcBeAlAu6. The functional is PBE.

The structure in CIF format:
```
data_AcBeAlAu6
_space_group_name_H-M_alt 'I m m a'
_space_group_IT_number 74
_space_group_name_Hall '-I 2b 2'
_cell_length_a 8.068
_cell_length_b 8.867
_cell_length_c 11.192
_cell_angle_alpha 90.00
_cell_angle_beta 90.00
_cell_angle_gamma 90.00
loop_
_atom_site_label
_atom_site_type_symbol
_atom_site_fract_x
_atom_site_fract_y
_atom_site_fract_z
Ac1 Ac 0.000 0.250 0.179
Be1 Be 0.000 0.000 0.500
Al1 Al 0.250 0.250 0.750
Au1 Au 0.000 0.250 0.462
Au2 Au 0.000 0.250 0.887
Au3 Au 0.224 0.006 0.627
```

## Properties
Formation energy (eV per formula unit): -2.379
Total DFT energy (no corrections) (eV/atom): -3.74



(6)
This record from Alexandria via LeMat-Bulk describes a relaxed structure of Ac2BeAlAu6. The functional is PBE.

The structure in CIF format:
```
data_Ac2BeAlAu6
_space_group_name_H-M_alt 'P -1'
_space_group_IT_number 2
_space_group_name_Hall '-P 1'
_cell_length_a 6.629
_cell_length_b 6.632
_cell_length_c 7.012
_cell_angle_alpha 118.04
_cell_angle_beta 90.20
_cell_angle_gamma 119.91
loop_
_atom_site_label
_atom_site_type_symbol
_atom_site_fract_x
_atom_site_fract_y
_atom_site_fract_z
Ac1 Ac 0.221 0.443 0.163
Be1 Be 0.000 0.000 0.500
Al1 Al 0.500 0.000 0.000
Au1 Au 0.241 0.481 0.683
Au2 Au 0.241 0.938 0.678
Au3 Au 0.300 0.062 0.319
```

## Properties
Formation energy (eV per formula unit): -6.080
Total DFT energy (no corrections) (eV/atom): -4.14



(7)
This record from Alexandria via LeMat-Bulk describes a relaxed structure of AcBeAlAu3. The functional is PBE.

The structure in CIF format:
```
data_AcBeAlAu3
_space_group_name_H-M_alt 'C m c m'
_space_group_IT_number 63
_space_group_name_Hall '-C 2c 2'
_cell_length_a 6.422
_cell_length_b 11.990
_cell_length_c 6.579
_cell_angle_alpha 90.00
_cell_angle_beta 90.00
_cell_angle_gamma 90.00
loop_
_atom_site_label
_atom_site_type_symbol
_atom_site_fract_x
_atom_site_fract_y
_atom_site_fract_z
Ac1 Ac 0.000 0.225 0.250
Be1 Be 0.000 0.491 0.250
Al1 Al 0.000 0.106 0.750
Au1 Au 0.000 0.315 0.750
Au2 Au 0.243 0.000 0.000
```

## Properties
Formation energy (eV per formula unit): -2.990
Total DFT energy (no corrections) (eV/atom): -4.07



(8)
This record from Alexandria via LeMat-Bulk describes a relaxed structure of Ac2BeAl4Au3. The functional is PBE.

The structure in CIF format:
```
data_Ac2BeAl4Au3
_space_group_name_H-M_alt 'P -4 m 2'
_space_group_IT_number 115
_space_group_name_Hall 'P -4 -2'
_cell_length_a 4.492
_cell_length_b 4.492
_cell_length_c 10.645
_cell_angle_alpha 90.00
_cell_angle_beta 90.00
_cell_angle_gamma 90.00
loop_
_atom_site_label
_atom_site_type_symbol
_atom_site_fract_x
_atom_site_fract_y
_atom_site_fract_z
Ac1 Ac 0.000 0.500 0.242
Be1 Be 0.500 0.500 0.000
Al1 Al 0.000 0.000 0.500
Al2 Al 0.000 0.500 0.879
Al3 Al 0.500 0.500 0.500
Au1 Au 0.000 0.000 0.000
Au2 Au 0.000 0.500 0.631
```

## Properties
Formation energy (eV per formula unit): -5.834
Total DFT energy (no corrections) (eV/atom): -4.26



(9)
This record from Alexandria via LeMat-Bulk describes a relaxed structure of AcBe2AlAu4. The functional is PBE.

The structure in CIF format:
```
data_AcBe2AlAu4
_space_group_name_H-M_alt 'R -3 m'
_space_group_IT_number 166
_space_group_name_Hall '-R 3 2"'
_cell_length_a 4.2795
_cell_length_b 4.2795
_cell_length_c 28.5116
_cell_angle_alpha 90.00
_cell_angle_beta 90.00
_cell_angle_gamma 120.00
loop_
_atom_site_label
_atom_site_type_symbol
_atom_site_fract_x
_atom_site_fract_y
_atom_site_fract_z
Ac1 Ac 0.0000 0.0000 0.0000
Be1 Be 0.0000 0.0000 0.2320
Al1 Al 0.0000 0.0000 0.5000
Au1 Au 0.0000 0.0000 0.1310
Au2 Au 0.0000 0.0000 0.4060
```

## Properties
Formation energy (eV per formula unit): -2.641
Total DFT energy (no corrections) (eV/atom): -3.88



(10)
This record from Alexandria via LeMat-Bulk describes a relaxed structure of AcBeAl2Au4. The functional is PBE.

The structure in CIF format:
```
data_AcBeAl2Au4
_space_group_name_H-M_alt 'R -3 m'
_space_group_IT_number 166
_space_group_name_Hall '-R 3 2"'
_cell_length_a 4.4113
_cell_length_b 4.4113
_cell_length_c 27.9147
_cell_angle_alpha 90.00
_cell_angle_beta 90.00
_cell_angle_gamma 120.00
loop_
_atom_site_label
_atom_site_type_symbol
_atom_site_fract_x
_atom_site_fract_y
_atom_site_fract_z
Ac1 Ac 0.0000 0.0000 0.0000
Be1 Be 0.0000 0.0000 0.5000
Al1 Al 0.0000 0.0000 0.2370
Au1 Au 0.0000 0.0000 0.1399
Au2 Au 0.0000 0.0000 0.4076
```

## Properties
Formation energy (eV per formula unit): -3.902
Total DFT energy (no corrections) (eV/atom): -4.04



(11)
This record from Alexandria via LeMat-Bulk describes a relaxed structure of AcAl2BiAu5. The functional is PBE.

The structure in CIF format:
```
data_AcAl2BiAu5
_space_group_name_H-M_alt 'P 4/m m m'
_space_group_IT_number 123
_space_group_name_Hall '-P 4 2'
_cell_length_a 5.094
_cell_length_b 5.094
_cell_length_c 7.821
_cell_angle_alpha 90.00
_cell_angle_beta 90.00
_cell_angle_gamma 90.00
loop_
_atom_site_label
_atom_site_type_symbol
_atom_site_fract_x
_atom_site_fract_y
_atom_site_fract_z
Ac1 Ac 0.000 0.000 0.000
Al1 Al 0.500 0.500 0.335
Bi1 Bi 0.000 0.000 0.500
Au1 Au 0.000 0.500 0.257
Au2 Au 0.500 0.500 0.000
```

## Properties
Formation energy (eV per formula unit): -3.383
Total DFT energy (no corrections) (eV/atom): -3.92



(12)
This record from Alexandria via LeMat-Bulk describes a relaxed structure of AcAlBiAu. The functional is PBE.

The structure in CIF format:
```
data_AcAlBiAu
_space_group_name_H-M_alt 'F -4 3 m'
_space_group_IT_number 216
_space_group_name_Hall 'F -4 2 3'
_cell_length_a 7.615
_cell_length_b 7.615
_cell_length_c 7.615
_cell_angle_alpha 90.00
_cell_angle_beta 90.00
_cell_angle_gamma 90.00
loop_
_atom_site_label
_atom_site_type_symbol
_atom_site_fract_x
_atom_site_fract_y
_atom_site_fract_z
Ac1 Ac 0.000 0.000 0.000
Al1 Al 0.250 0.250 0.750
Bi1 Bi 0.000 0.000 0.500
Au1 Au 0.250 0.250 0.250
```

## Properties
Formation energy (eV per formula unit): -1.360
Total DFT energy (no corrections) (eV/atom): -4.09



| no. | volume (Å³ per atom) |
| --- | --- |
| 1 | 24.53 |
| 2 | 19.78 |
| 3 | 28.79 |
| 4 | 24.17 |
| 5 | 22.24 |
| 6 | 22.42 |
| 7 | 21.11 |
| 8 | 21.48 |
| 9 | 18.84 |
| 10 | 19.60 |
| 11 | 22.55 |
| 12 | 27.60 |